No. 1
First-principles (PBE-GGA) data for a relaxed KTaSb2 crystal, as listed in the Alexandria database.

Properties
The value obtained for the calculated density is 6.12 g/cm3. Its uncorrected formation energy is 0.2975 eV/atom. The calculation puts the energy at -5.001 eV per atom. For the excess energy over the best structure of this formula in the dataset, the calculation gives 395.3 meV per atom.

abc: 6.8455 6.8455 6.8455
angles: 153.57 117.07 69.48
Sites, in units of the cell vectors:
K  0.0000  0.0000  0.0000
Ta  0.5000  0.5000  0.0000
Sb  0.2936  0.7936  0.5000
Sb  0.7064  0.2064  0.5000

***

No. 2
First-principles (PBE-GGA) data for a relaxed Tb5Nd4Y2 crystal, as listed in the Alexandria database.

Properties
The value obtained for the calculated density is 6.94 g/cm3. The calculation puts the energy at -4.903 eV per atom. For the excess energy over the best structure of this formula in the dataset, the calculation gives 11.9 meV per atom. The formation energy is 0.1111 eV per atom.

abc: 6.7148 6.7148 9.2196
angles: 102.74 102.74 67.71
Sites, in units of the cell vectors:
Tb  0.0000  0.0000  0.0000
Tb  0.2073  0.6475  0.7247
Tb  0.3525  0.7927  0.2753
Tb  0.6475  0.2073  0.7247
Tb  0.7927  0.3525  0.2753
Nd  0.3105  0.3105  0.0038
Nd  0.3308  0.3308  0.3815
Nd  0.6692  0.6692  0.6185
Nd  0.6895  0.6895  0.9962
Y  0.1403  0.1403  0.6248
Y  0.8597  0.8597  0.3752

***

No. 3
First-principles (PBE-GGA) data for a relaxed CrMo3 crystal, as listed in the Alexandria database.

Properties
The value obtained for the calculated density is 9.47 g/cm3. The calculation puts the energy at -10.486 eV per atom. The formation energy is 0.0435 eV per atom.

abc: 2.7011 2.7011 8.6729
angles: 90.00 90.00 109.73
Sites, in units of the cell vectors:
Cr  0.0000  0.0000  0.0000
Mo  0.0000  0.0000  0.5000
Mo  0.5000  0.5000  0.2378
Mo  0.5000  0.5000  0.7622